# 1
Compound: KMgW
Source: Alexandria
Functional: GGA-PBEsol
Structure: relaxed

abc: 7.4878 7.4878 7.4878
angles: 90.00 90.00 90.00
Closest atoms and distances in Å follow each position.
Sites, in units of the cell vectors:
K (0.0000, 0.0000, 0.0000)  4 Mg 3.24, 4 W 3.24
K (0.0000, 0.5000, 0.5000)  4 Mg 3.24, 4 W 3.24
K (0.5000, 0.0000, 0.5000)  4 Mg 3.24, 4 W 3.24
K (0.5000, 0.5000, 0.0000)  4 Mg 3.24, 4 W 3.24
Mg (0.2500, 0.2500, 0.7500)  4 K 3.24
Mg (0.2500, 0.7500, 0.2500)  4 K 3.24
Mg (0.7500, 0.2500, 0.2500)  4 K 3.24
Mg (0.7500, 0.7500, 0.7500)  4 K 3.24
W (0.2500, 0.2500, 0.2500)  4 K 3.24
W (0.2500, 0.7500, 0.7500)  4 K 3.24
W (0.7500, 0.2500, 0.7500)  4 K 3.24
W (0.7500, 0.7500, 0.2500)  4 K 3.24

Fermi-level density of states ... 1.25 states/eV/f.u.
Energy of formation from the pure elements ... 2.56 eV/atom
Total DFT energy (no corrections) ... -0.1099 Ha/atom

# 2
Compound: KMg2Zn
Source: Alexandria
Functional: GGA-PBEsol
Structure: relaxed

abc: 5.1767 5.1767 7.3937
angles: 90.00 90.00 90.00
Closest atoms and distances in Å follow each position.
Sites, in units of the cell vectors:
K (0.0000, 0.0000, 0.0000)  8 Mg 3.18
K (0.5000, 0.5000, 0.5000)  8 Mg 3.18
Mg (0.0000, 0.5000, 0.2500)  4 K 3.18, 4 Zn 3.18
Mg (0.0000, 0.5000, 0.7500)  4 Zn 3.18, 4 K 3.18
Mg (0.5000, 0.0000, 0.2500)  4 K 3.18, 4 Zn 3.18
Mg (0.5000, 0.0000, 0.7500)  4 Zn 3.18, 4 K 3.18
Zn (0.0000, 0.0000, 0.5000)  8 Mg 3.18
Zn (0.5000, 0.5000, 0.0000)  8 Mg 3.18

Fermi-level density of states ... 2.45 states/eV/f.u.
Energy of formation from the pure elements ... 0.27 eV/atom
Total DFT energy (no corrections) ... -0.0464 Ha/atom

# 3
Compound: KMgZn2
Source: Alexandria
Functional: GGA-PBEsol
Structure: relaxed

abc: 7.1259 7.1259 7.1259
angles: 90.00 90.00 90.00
Closest atoms and distances in Å follow each position.
Sites, in units of the cell vectors:
K (0.0000, 0.0000, 0.0000)  4 Zn 3.09, 4 Mg 3.09
K (0.0000, 0.5000, 0.5000)  4 Zn 3.09, 4 Mg 3.09
K (0.5000, 0.0000, 0.5000)  4 Zn 3.09, 4 Mg 3.09
K (0.5000, 0.5000, 0.0000)  4 Zn 3.09, 4 Mg 3.09
Mg (0.2500, 0.2500, 0.2500)  4 K 3.09, 4 Zn 3.09
Mg (0.2500, 0.7500, 0.7500)  4 K 3.09, 4 Zn 3.09
Mg (0.7500, 0.2500, 0.7500)  4 K 3.09, 4 Zn 3.09
Mg (0.7500, 0.7500, 0.2500)  4 K 3.09, 4 Zn 3.09
Zn (0.0000, 0.0000, 0.5000)  4 Mg 3.09, 4 Zn 3.09
Zn (0.0000, 0.5000, 0.0000)  4 Mg 3.09, 4 Zn 3.09
Zn (0.2500, 0.2500, 0.7500)  4 Zn 3.09, 4 K 3.09
Zn (0.2500, 0.7500, 0.2500)  4 Zn 3.09, 4 K 3.09
Zn (0.5000, 0.0000, 0.0000)  4 Mg 3.09, 4 Zn 3.09
Zn (0.5000, 0.5000, 0.5000)  4 Mg 3.09, 4 Zn 3.09
Zn (0.7500, 0.2500, 0.2500)  4 Zn 3.09, 4 K 3.09
Zn (0.7500, 0.7500, 0.7500)  4 Zn 3.09, 4 K 3.09

Fermi-level density of states ... 2.22 states/eV/f.u.
Energy of formation from the pure elements ... 0.32 eV/atom
Total DFT energy (no corrections) ... -0.0435 Ha/atom

# 4
Compound: K3MgZn
Source: Alexandria
Functional: GGA-PBEsol
Structure: relaxed

abc: 6.8377 6.8377 6.8377
angles: 90.00 90.00 90.00
Closest atoms and distances in Å follow each position.
Sites, in units of the cell vectors:
K (0.0000, 0.0000, 0.5000)  2 Mg 3.42
K (0.0000, 0.5000, 0.0000)  2 Mg 3.42
K (0.5000, 0.0000, 0.0000)  2 Mg 3.42
Mg (0.0000, 0.0000, 0.0000)  6 K 3.42
Zn (0.5000, 0.5000, 0.5000)  12 K 4.84

Fermi-level density of states ... 4.25 states/eV/f.u.
Energy of formation from the pure elements ... 0.51 eV/atom
Total DFT energy (no corrections) ... -0.0306 Ha/atom

# 5
Compound: K2MgZr
Source: Alexandria
Functional: GGA-PBEsol
Structure: relaxed

abc: 3.1814 3.1814 13.1057
angles: 90.00 90.00 90.00
Closest atoms and distances in Å follow each position.
Sites, in units of the cell vectors:
K (0.0000, 0.0000, 0.2464)  4 K 3.18
K (0.0000, 0.0000, 0.7536)  4 K 3.18
Mg (0.5000, 0.5000, 0.0000)  4 Mg 3.18
Zr (0.5000, 0.5000, 0.5000)  4 Zr 3.18

Fermi-level density of states ... 4.72 states/eV/f.u.
Energy of formation from the pure elements ... 0.72 eV/atom
Total DFT energy (no corrections) ... -0.0935 Ha/atom

# 6
Compound: K2MgZr
Source: Alexandria
Functional: GGA-PBEsol
Structure: relaxed

abc: 3.2498 5.8184 13.7256
angles: 90.00 90.00 90.00
Closest atoms and distances in Å follow each position.
Sites, in units of the cell vectors:
K (0.0000, 0.0000, 0.2189)  6 K 3.25-3.44, 2 Mg 3.42
K (0.0000, 0.0000, 0.7811)  6 K 3.25-3.44, 2 Mg 3.42
K (0.5000, 0.5000, 0.2811)  6 K 3.25-3.44, 2 Mg 3.42
K (0.5000, 0.5000, 0.7189)  6 K 3.25-3.44, 2 Mg 3.42
Mg (0.0000, 0.5000, 0.5000)  2 Mg 3.25, 4 Zr 3.33, 4 K 3.42
Mg (0.5000, 0.0000, 0.0000)  2 Mg 3.25, 4 Zr 3.33, 4 K 3.42
Zr (0.0000, 0.5000, 0.0000)  2 Zr 3.25, 4 Mg 3.33
Zr (0.5000, 0.0000, 0.5000)  2 Zr 3.25, 4 Mg 3.33

Fermi-level density of states ... 4.05 states/eV/f.u.
Energy of formation from the pure elements ... 0.74 eV/atom
Total DFT energy (no corrections) ... -0.0930 Ha/atom

What did the fourth record say?
Compound: K3MgZn
Source: Alexandria
Functional: GGA-PBEsol
Structure: relaxed

abc: 6.8377 6.8377 6.8377
angles: 90.00 90.00 90.00
Closest atoms and distances in Å follow each position.
Sites, in units of the cell vectors:
K (0.0000, 0.0000, 0.5000)  2 Mg 3.42
K (0.0000, 0.5000, 0.0000)  2 Mg 3.42
K (0.5000, 0.0000, 0.0000)  2 Mg 3.42
Mg (0.0000, 0.0000, 0.0000)  6 K 3.42
Zn (0.5000, 0.5000, 0.5000)  12 K 4.84

Fermi-level density of states ... 4.25 states/eV/f.u.
Energy of formation from the pure elements ... 0.51 eV/atom
Total DFT energy (no corrections) ... -0.0306 Ha/atom